[1]
## K2Rh2O (PBE)

Data for crystalline K2Rh2O at its relaxed geometry.

abc: 6.4755 6.4755 6.1458
angles: 90.00 90.00 90.00
Last column: nearest neighbours and their distance in Å.
Sites, in units of the cell vectors:
K1 0.1643 0.3357 0.0000  2 O 2.42
K2 0.8357 0.6643 0.0000  2 O 2.42
K3 0.6643 0.1643 0.0000  2 O 2.42
K4 0.3357 0.8357 0.0000  2 O 2.42
Rh1 0.1297 0.6297 0.5000  1 Rh 2.38
Rh2 0.8703 0.3703 0.5000  1 Rh 2.38
Rh3 0.3703 0.1297 0.5000  1 Rh 2.38
Rh4 0.6297 0.8703 0.5000  1 Rh 2.38
O1 0.0000 0.0000 0.0000  4 K 2.42
O2 0.5000 0.5000 0.0000  4 K 2.42

Output
The energy relative to the elements, uncorrected is 0.7460 eV/atom. The offset from the most stable computed form is 753 meV/atom.

***

[2]
## KRhO3 (PBE)

Data for crystalline KRhO3 at its relaxed geometry.

abc: 3.9316 3.9316 3.9316
angles: 90.00 90.00 90.00
Last column: nearest neighbours and their distance in Å.
Sites, in units of the cell vectors:
O1 0.0000 0.5000 0.0000  2 Rh 1.97
O2 0.0000 0.0000 0.5000  2 Rh 1.97
O3 0.5000 0.0000 0.0000  2 Rh 1.97
K1 0.5000 0.5000 0.5000  12 O 2.78
Rh1 0.0000 0.0000 0.0000  6 O 1.97

Output
The energy relative to the elements, uncorrected is -0.7576 eV/atom.

***

What did the first record say?
## K2Rh2O (PBE)

Data for crystalline K2Rh2O at its relaxed geometry.

abc: 6.4755 6.4755 6.1458
angles: 90.00 90.00 90.00
Last column: nearest neighbours and their distance in Å.
Sites, in units of the cell vectors:
K1 0.1643 0.3357 0.0000  2 O 2.42
K2 0.8357 0.6643 0.0000  2 O 2.42
K3 0.6643 0.1643 0.0000  2 O 2.42
K4 0.3357 0.8357 0.0000  2 O 2.42
Rh1 0.1297 0.6297 0.5000  1 Rh 2.38
Rh2 0.8703 0.3703 0.5000  1 Rh 2.38
Rh3 0.3703 0.1297 0.5000  1 Rh 2.38
Rh4 0.6297 0.8703 0.5000  1 Rh 2.38
O1 0.0000 0.0000 0.0000  4 K 2.42
O2 0.5000 0.5000 0.0000  4 K 2.42

Output
The energy relative to the elements, uncorrected is 0.7460 eV/atom. The offset from the most stable computed form is 753 meV/atom.